First-principles (PBEsol) data for a geometry-optimized In4Pb structure, as listed in Alexandria via LeMat-Bulk.

Lattice parameters (Å, degrees): 5.5879 3.4919 13.4471 90.00 90.94 90.00
With the nearest neighbours (Å) after each atom.
Space group C2/m (No. 12)
One atom of each set of equivalent atoms:
In: 0.0869 0.0000 0.2921 x4  9 In 3.24-3.49, 3 Pb 3.34-3.60
In: 0.2155 0.5000 0.0973 x4  12 In 3.17-3.53
Pb: 0.0000 0.5000 0.5000 x2  6 Pb 3.29-3.49, 6 In 3.34-3.60

Summary:
E_form: 11.8 meV per atom
VASP energy: -3.1742 eV/atom